Arrangement i

{
  "formula": "Cr2CoPt",
  "functional": "PBE",
  "state": "optimized geometry",
  "lattice": [[2.985, 0.000, 0.000], [0.000, 2.985, 0.000], [0.000, 0.000, 5.635]],
  "species": ["Cr", "Cr", "Co", "Pt"],
  "frac_coords": [[0.000, 0.000, 0.000], [0.500, 0.500, 0.242], [0.500, 0.500, 0.812], [0.000, 0.000, 0.522]],
  "volume_a3_per_atom": 12.55,
  "dos_ef_per_ev_fu": 5.05
}

=====

Arrangement ii

{
  "formula": "Cr2CoPt",
  "functional": "PBE",
  "state": "optimized geometry",
  "lattice": [[2.600, 0.000, 0.000], [0.000, 4.121, 0.000], [0.000, 0.000, 4.602]],
  "species": ["Cr", "Cr", "Co", "Pt"],
  "frac_coords": [[0.000, 0.000, 0.000], [0.000, 0.500, 0.313], [0.500, 0.000, 0.461], [0.500, 0.500, 0.809]],
  "volume_a3_per_atom": 12.33,
  "dos_ef_per_ev_fu": 3.56
}

=====

It is arrangement ii that is the most stable of them.

=====

Arrangement i

{
  "formula": "RbCrCo2",
  "functional": "PBE",
  "state": "optimized geometry",
  "lattice": [[0.000, 3.181, 3.181], [3.181, 0.000, 3.181], [3.181, 3.181, 0.000]],
  "species": ["Rb", "Cr", "Co", "Co"],
  "frac_coords": [[0.000, 0.000, 0.000], [0.500, 0.500, 0.500], [0.250, 0.250, 0.250], [0.750, 0.750, 0.750]],
  "volume_a3_per_atom": 16.09,
  "dos_ef_per_ev_fu": 9.60
}

=====

Arrangement ii

{
  "formula": "RbCrCo2",
  "functional": "PBE",
  "state": "optimized geometry",
  "lattice": [[-3.474, 3.474, 3.500], [3.474, -3.474, 3.500], [3.474, 3.474, -3.500]],
  "species": ["Rb", "Rb", "Cr", "Cr", "Co", "Co", "Co", "Co"],
  "frac_coords": [[0.000, 0.000, 0.000], [0.750, 0.250, 0.500], [0.250, 0.750, 0.500], [0.500, 0.500, 0.000], [0.238, 0.625, 0.113], [0.375, 0.488, 0.613], [0.512, 0.125, 0.887], [0.875, 0.762, 0.387]],
  "volume_a3_per_atom": 21.11,
  "dos_ef_per_ev_fu": 5.74
}

=====

It is arrangement ii that is the most stable of them.

=====

Arrangement i

{
  "formula": "CrCo2Re",
  "functional": "PBE",
  "state": "optimized geometry",
  "lattice": [[1.308, 0.755, 8.335], [-1.308, 0.755, 8.335], [0.000, -1.510, 8.335]],
  "species": ["Cr", "Co", "Co", "Re"],
  "frac_coords": [[0.000, 0.000, 0.000], [0.256, 0.256, 0.256], [0.509, 0.509, 0.509], [0.757, 0.757, 0.757]],
  "volume_a3_per_atom": 12.34,
  "dos_ef_per_ev_fu": 4.93
}

=====

Arrangement ii

{
  "formula": "CrCo2Re",
  "functional": "PBE",
  "state": "optimized geometry",
  "lattice": [[2.556, 0.000, 0.000], [0.000, 3.663, 0.000], [0.000, 0.000, 5.056]],
  "species": ["Cr", "Co", "Co", "Re"],
  "frac_coords": [[0.000, 0.000, 0.000], [0.500, 0.500, 0.243], [0.500, 0.500, 0.757], [0.000, 0.000, 0.500]],
  "volume_a3_per_atom": 11.83,
  "dos_ef_per_ev_fu": 3.54
}

=====

Arrangement iii

{
  "formula": "CrCo2Re",
  "functional": "PBE",
  "state": "optimized geometry",
  "lattice": [[-1.828, 1.828, 3.550], [1.828, -1.828, 3.550], [1.828, 1.828, -3.550]],
  "species": ["Cr", "Co", "Co", "Re"],
  "frac_coords": [[0.000, 0.000, 0.000], [0.250, 0.750, 0.500], [0.500, 0.500, 0.000], [0.750, 0.250, 0.500]],
  "volume_a3_per_atom": 11.87,
  "dos_ef_per_ev_fu": 5.39
}

=====

It is arrangement ii that is the most stable of them.